Entry from Alexandria via LeMat-Bulk: a geometry-optimized CaNb2SiP structure (GGA-PBE).

```
data_CaNb2SiP
_cell_length_a 4.687
_cell_length_b 4.687
_cell_length_c 4.900
_cell_angle_alpha 90.00
_cell_angle_beta 90.00
_cell_angle_gamma 90.00
_symmetry_space_group_name_H-M 'P 1'
_symmetry_Int_Tables_number 1
loop_
_symmetry_equiv_pos_as_xyz
'x,y,z'
loop_
_atom_site_label
_atom_site_type_symbol
_atom_site_fract_x
_atom_site_fract_y
_atom_site_fract_z
Ca1 Ca 0.000 0.000 0.000
Nb1 Nb 0.000 0.500 0.500
Nb2 Nb 0.500 0.000 0.500
Si1 Si 0.500 0.500 0.000
P1 P 0.500 0.500 0.500
```

Values from the calculation:
The symmetry is No. 123. As for the crystal system: tetragonal. The value obtained for the energy relative to the elements, uncorrected is 30.2 kJ/mol of atoms. As for the spin magnetization: 0.0 μB per formula unit.

Entry from Alexandria via LeMat-Bulk: a geometry-optimized KSiMo2 structure (GGA-PBE).

```
data_KSiMo2
_cell_length_a 6.233
_cell_length_b 6.233
_cell_length_c 6.233
_cell_angle_alpha 155.55
_cell_angle_beta 129.39
_cell_angle_gamma 56.98
_symmetry_space_group_name_H-M 'P 1'
_symmetry_Int_Tables_number 1
loop_
_symmetry_equiv_pos_as_xyz
'x,y,z'
loop_
_atom_site_label
_atom_site_type_symbol
_atom_site_fract_x
_atom_site_fract_y
_atom_site_fract_z
K1 K 0.000 0.000 0.000
Si1 Si 0.500 0.500 0.000
Mo1 Mo 0.299 0.799 0.500
Mo2 Mo 0.701 0.201 0.500
```

Values from the calculation:
The symmetry is No. 71. As for the crystal system: orthorhombic. The value obtained for the energy relative to the elements, uncorrected is 72.5 kJ/mol of atoms. As for the spin magnetization: 0.0 μB per formula unit.

Entry from Alexandria via LeMat-Bulk: a geometry-optimized SmEr3Mg4 structure (GGA-PBE).

```
data_SmEr3Mg4
_cell_length_a 10.706
_cell_length_b 7.565
_cell_length_c 5.354
_cell_angle_alpha 90.00
_cell_angle_beta 90.00
_cell_angle_gamma 90.00
_symmetry_space_group_name_H-M 'P 1'
_symmetry_Int_Tables_number 1
loop_
_symmetry_equiv_pos_as_xyz
'x,y,z'
loop_
_atom_site_label
_atom_site_type_symbol
_atom_site_fract_x
_atom_site_fract_y
_atom_site_fract_z
Sm1 Sm 0.000 0.000 0.000
Sm2 Sm 0.500 0.000 0.000
Er1 Er 0.000 0.500 0.000
Er2 Er 0.250 0.000 0.495
Er3 Er 0.250 0.500 0.495
Er4 Er 0.500 0.500 0.000
Er5 Er 0.750 0.000 0.505
Er6 Er 0.750 0.500 0.505
Mg1 Mg 0.000 0.253 0.500
Mg2 Mg 0.000 0.747 0.500
Mg3 Mg 0.250 0.253 0.994
Mg4 Mg 0.250 0.747 0.994
Mg5 Mg 0.500 0.253 0.500
Mg6 Mg 0.500 0.747 0.500
Mg7 Mg 0.750 0.253 0.006
Mg8 Mg 0.750 0.747 0.006
```

Values from the calculation:
The symmetry is No. 51. As for the crystal system: orthorhombic. The formation energy is -0.6 eV per formula unit. As for the spin magnetization: 0.0 μB per formula unit.